A relaxed Rb4Cr3AgF12 crystal. Source: Alexandria via LeMat-Bulk, functional GGA+U.

Unit cell a=8.6665 b=8.6665 c=8.6665 alpha=90.00 beta=90.00 gamma=90.00
Last column: nearest neighbours and their distance in Å.
Space group Im-3m (No. 229)
One atom of each set of equivalent atoms:
Rb 0.2500 0.2500 0.2500 (multiplicity 8)  12 F 3.06-3.07
Cr 0.0000 0.0000 0.5000 (multiplicity 6)  6 F 1.95-2.17
Ag 0.0000 0.0000 0.0000 (multiplicity 2)  6 F 2.39
F 0.0000 0.0000 0.2752 (multiplicity 12)  1 Cr 1.95
F 0.0000 0.2500 0.5000 (multiplicity 12)  2 Cr 2.17

Summary:
Total magnetization, μB per cell: 22.00
Final energy, hartree per atom: -0.1894